Here is an optimized crystal structure of Sb2As2Br from Alexandria. Energies are from PBE.

Cell lengths 7.503, 7.503, 7.503 Å; angles 144.04, 144.04, 51.77 degrees
Fractional coordinates of all 5 atoms:
Sb (0.133, 0.133, 0.000)
Sb (0.867, 0.867, 0.000)
As (0.250, 0.750, 0.500)
As (0.750, 0.250, 0.500)
Br (0.500, 0.500, 0.000)

Computed properties:
- spin magnetization (μB/cell) = 0.0
- final energy (eV per formula unit) = -19.32
- V (Å³ per cell) = 144.9
- E_form (uncorrected) (eV/atom) = -0.021
- energy above the most stable polymorph in this dataset (kJ per mole of atoms) = 0.0
- DOS(E_F) (states/eV/cell) = 1.1

=====

Here is an optimized crystal structure of Sb2As2Br from Alexandria. Energies are from PBE.

Cell lengths 6.689, 6.689, 6.689 Å; angles 136.19, 136.19, 63.69 degrees
Fractional coordinates of all 5 atoms:
Sb (0.250, 0.750, 0.500)
Sb (0.750, 0.250, 0.500)
As (0.133, 0.133, 0.000)
As (0.867, 0.867, 0.000)
Br (0.500, 0.500, 0.000)

Computed properties:
- spin magnetization (μB/cell) = 0.0
- final energy (eV per formula unit) = -18.91
- V (Å³ per cell) = 141.5
- E_form (uncorrected) (eV/atom) = 0.062
- energy above the most stable polymorph in this dataset (kJ per mole of atoms) = 8.1
- DOS(E_F) (states/eV/cell) = 2.4

=====

Here is an optimized crystal structure of SbAsBr from Alexandria. Energies are from PBE.

Cell lengths 4.943, 4.943, 4.943 Å; angles 60.00, 60.00, 60.00 degrees
Fractional coordinates of all 3 atoms:
Sb (0.000, 0.000, 0.000)
As (0.500, 0.500, 0.500)
Br (0.750, 0.750, 0.750)

Computed properties:
- spin magnetization (μB/cell) = 0.0
- final energy (eV per formula unit) = -7.92
- V (Å³ per cell) = 85.4
- E_form (uncorrected) (eV/atom) = 0.843
- energy above the most stable polymorph in this dataset (kJ per mole of atoms) = 91.0
- DOS(E_F) (states/eV/cell) = 4.2

=====

Here is an optimized crystal structure of SbAs3Br from Alexandria. Energies are from PBE.

Cell lengths 5.093, 5.093, 5.093 Å; angles 90.00, 90.00, 90.00 degrees
Fractional coordinates of all 5 atoms:
Sb (0.000, 0.000, 0.000)
As (0.000, 0.500, 0.500)
As (0.500, 0.000, 0.500)
As (0.500, 0.500, 0.000)
Br (0.500, 0.500, 0.500)

Computed properties:
- spin magnetization (μB/cell) = 0.0
- final energy (eV per formula unit) = -14.23
- V (Å³ per cell) = 132.1
- E_form (uncorrected) (eV/atom) = 1.102
- energy above the most stable polymorph in this dataset (kJ per mole of atoms) = 13.7
- DOS(E_F) (states/eV/cell) = 4.2

=====

Here is an optimized crystal structure of SbAs2Br2 from Alexandria. Energies are from PBE.

Cell lengths 6.787, 6.787, 6.787 Å; angles 138.50, 138.50, 60.14 degrees
Fractional coordinates of all 5 atoms:
Sb (0.000, 0.000, 0.000)
As (0.401, 0.401, 0.000)
As (0.599, 0.599, 0.000)
Br (0.250, 0.750, 0.500)
Br (0.750, 0.250, 0.500)

Computed properties:
- spin magnetization (μB/cell) = 0.0
- final energy (eV per formula unit) = -14.43
- V (Å³ per cell) = 135.9
- E_form (uncorrected) (eV/atom) = 0.467
- energy above the most stable polymorph in this dataset (kJ per mole of atoms) = 38.5
- DOS(E_F) (states/eV/cell) = 3.8

=====

Here is an optimized crystal structure of Sb2As2Br from Alexandria. Energies are from PBE.

Cell lengths 8.364, 8.364, 3.566 Å; angles 90.00, 90.00, 90.00 degrees
Fractional coordinates of all 10 atoms:
Sb (0.145, 0.355, 0.000)
Sb (0.355, 0.855, 0.000)
Sb (0.645, 0.145, 0.000)
Sb (0.855, 0.645, 0.000)
As (0.136, 0.636, 0.500)
As (0.364, 0.136, 0.500)
As (0.636, 0.864, 0.500)
As (0.864, 0.364, 0.500)
Br (0.000, 0.000, 0.500)
Br (0.500, 0.500, 0.500)

Computed properties:
- spin magnetization (μB/cell) = 0.0
- final energy (eV per formula unit) = -18.41
- V (Å³ per cell) = 249.5
- E_form (uncorrected) (eV/atom) = 0.162
- energy above the most stable polymorph in this dataset (kJ per mole of atoms) = 17.7
- DOS(E_F) (states/eV/cell) = 3.5

=====

Here is an optimized crystal structure of SbAs4Br from Alexandria. Energies are from PBE.

Cell lengths 5.957, 5.957, 5.957 Å; angles 60.00, 60.00, 60.00 degrees
Fractional coordinates of all 6 atoms:
Sb (0.000, 0.000, 0.000)
As (0.182, 0.606, 0.606)
As (0.606, 0.182, 0.606)
As (0.606, 0.606, 0.182)
As (0.606, 0.606, 0.606)
Br (0.250, 0.250, 0.250)

Computed properties:
- spin magnetization (μB/cell) = 0.0
- final energy (eV per formula unit) = -22.28
- V (Å³ per cell) = 149.4
- E_form (uncorrected) (eV/atom) = 0.353
- DOS(E_F) (states/eV/cell) = 4.4

=====

Here is an optimized crystal structure of SbAs3Br from Alexandria. Energies are from PBE.

Cell lengths 5.343, 5.343, 5.343 Å; angles 90.00, 90.00, 90.00 degrees
Fractional coordinates of all 5 atoms:
Sb (0.000, 0.000, 0.000)
As (0.000, 0.000, 0.500)
As (0.000, 0.500, 0.000)
As (0.500, 0.000, 0.000)
Br (0.500, 0.500, 0.500)

Computed properties:
- spin magnetization (μB/cell) = 0.0
- final energy (eV per formula unit) = -14.94
- V (Å³ per cell) = 152.5
- E_form (uncorrected) (eV/atom) = 0.960
- energy above the most stable polymorph in this dataset (kJ per mole of atoms) = 0.0
- DOS(E_F) (states/eV/cell) = 8.6

=====

no.,mass density (g/cm³)
1,5.42
2,5.55
3,5.38
4,5.36
5,5.27
6,6.30
7,5.57
8,4.64